(1)
An optimized crystal structure of ZrIrPt2. Source: Alexandria, functional PBE-GGA.

abc: 3.896 3.896 9.863
angles: 78.61 78.61 90.00
Fractional coordinates of all 8 atoms:
Ir 0.000 0.000 0.000
Ir 0.750 0.250 0.500
Zr 0.500 0.500 0.000
Zr 0.250 0.750 0.500
Pt 0.639 0.125 0.250
Pt 0.111 0.625 0.250
Pt 0.375 0.361 0.750
Pt 0.875 0.889 0.750

## Properties
V ... 18.0 A^3/atom
SG ... I-42d (122)
Energy relative to the elements ... -156.4 kJ/mol of formula units
Total DFT energy (no corrections) ... -62.22 eV/cell

---

(2)
An optimized crystal structure of ZrIrPt2. Source: Alexandria, functional PBE-GGA.

abc: 4.078 2.861 6.349
angles: 63.26 90.00 90.00
Fractional coordinates of all 4 atoms:
Ir 0.500 0.750 0.750
Pt 0.000 0.010 0.989
Pt 0.000 0.490 0.511
Zr 0.500 0.250 0.250

## Properties
V ... 16.5 A^3/atom
SG ... Pmmm (47)
Energy relative to the elements ... -219.1 kJ/mol of formula units
Total DFT energy (no corrections) ... -31.76 eV/cell